No. 1
This record from the Alexandria database describes an optimized crystal structure of Tb3Sn2Rh6. The functional is GGA-PBE.

## Properties
Its formation energy is -40.40 kJ per mole of atoms. The calculation puts the raw total energy at -6.419 eV per atom. For the magnetic moment, the calculation gives 0.00 μB/f.u.

Cell lengths 3.9121, 3.9121, 15.3317 Å; angles 97.33, 97.33, 90.00 degrees
Element x y z (fractional)
Rh  0.4296  0.9296  0.8592
Rh  0.2837  0.2837  0.5674
Sn  0.6289  0.6289  0.2578
Rh  0.0704  0.5704  0.1408
Rh  0.5704  0.0704  0.1408
Rh  0.7163  0.7163  0.4326
Rh  0.9296  0.4296  0.8592
Sn  0.3711  0.3711  0.7422
Tb  0.1900  0.1900  0.3801
Tb  0.0000  0.0000  0.0000
Tb  0.8100  0.8100  0.6199

=====

No. 2
This record from the Alexandria database describes an optimized crystal structure of CoRhPb. The functional is GGA-PBE.

## Properties
Its formation energy is 38.85 kJ per mole of atoms. The calculation puts the raw total energy at -5.653 eV per atom. For the magnetic moment, the calculation gives 1.66 μB/f.u.

Cell lengths 4.3107, 4.3107, 3.1267 Å; angles 90.00, 90.00, 120.00 degrees
Each line ends with the local moment (μB).
Element x y z (fractional)
Co  0.0000  0.0000  0.9878  1.50
Pb  0.6667  0.3333  0.3062  -0.03
Rh  0.3333  0.6667  0.7060  0.23

=====

No. 3
This record from the Alexandria database describes an optimized crystal structure of InMo. The functional is GGA-PBE.

## Properties
Its formation energy is 206.88 kJ per mole of atoms. The calculation puts the raw total energy at -4.641 eV per atom. For the magnetic moment, the calculation gives 2.97 μB/f.u.

Cell lengths 7.7702, 7.7702, 7.7702 Å; angles 90.00, 90.00, 90.00 degrees
Each line ends with the local moment (μB).
Element x y z (fractional)
Mo  0.5000  0.2500  0.0000  2.54
Mo  0.0000  0.5000  0.2500  2.54
Mo  0.0000  0.5000  0.7500  2.54
In  0.2500  0.5000  0.0000  0.01
In  0.0000  0.2500  0.5000  0.01
Mo  0.5000  0.7500  0.0000  2.54
In  0.7500  0.5000  0.0000  0.01
In  0.0000  0.7500  0.5000  0.01
Mo  0.7500  0.0000  0.5000  2.54
In  0.5000  0.0000  0.2500  0.01
In  0.5000  0.0000  0.7500  0.01
Mo  0.2500  0.0000  0.5000  2.54

=====

No. 4
This record from the Alexandria database describes an optimized crystal structure of Tm4GaTe2Se. The functional is GGA-PBE.

## Properties
The energy relative to the elements, uncorrected is -1.221 eV/atom. The calculation puts the raw total energy at -5.056 eV per atom. For the magnetic moment, the calculation gives 0.00 μB/f.u.

Cell lengths 4.1488, 7.2475, 7.3975 Å; angles 108.87, 90.00, 90.00 degrees
Element x y z (fractional)
Te  0.0000  0.5000  0.5000
Te  0.5000  0.0000  0.5000
Tm  0.5000  0.7489  0.7796
Tm  0.0000  0.2681  0.7787
Se  0.0000  0.0000  0.0000
Ga  0.5000  0.5000  0.0000
Tm  0.5000  0.2511  0.2204
Tm  0.0000  0.7319  0.2213

=====

No. 5
This record from the Alexandria database describes an optimized crystal structure of LaFeTc. The functional is GGA-PBE.

## Properties
Its formation energy is 29.14 kJ per mole of atoms. The calculation puts the raw total energy at -7.617 eV per atom. For the magnetic moment, the calculation gives 1.28 μB/f.u.

Cell lengths 6.2473, 6.2472, 3.1033 Å; angles 75.62, 75.62, 28.76 degrees
Each line ends with the local moment (μB).
Element x y z (fractional)
Fe  0.0350  0.0350  0.9650  -1.61
La  0.3346  0.3346  0.6654  0.11
Tc  0.6304  0.6304  0.3696  0.16

=====

No. 6
This record from the Alexandria database describes an optimized crystal structure of CrTe3. The functional is GGA-PBE.

## Properties
The energy relative to the elements, uncorrected is 0.500 eV/atom. The calculation puts the raw total energy at -4.262 eV per atom. For the magnetic moment, the calculation gives 2.90 μB/f.u.

Cell lengths 5.9414, 5.9414, 5.9414 Å; angles 90.00, 90.00, 90.00 degrees
Each line ends with the local moment (μB).
Element x y z (fractional)
Te  0.0000  0.7500  0.5000  -0.25
Te  0.0000  0.2500  0.5000  -0.25
Te  0.5000  0.0000  0.2500  -0.25
Te  0.2500  0.5000  0.0000  -0.25
Te  0.7500  0.5000  0.0000  -0.25
Te  0.5000  0.0000  0.7500  -0.25
Cr  0.5000  0.5000  0.5000  3.71
Cr  0.0000  0.0000  0.0000  3.71